Record 1
Compound: MgCr2Au
Source: Alexandria
Functional: PBE
Structure: relaxed

Lattice parameters (Å, degrees): 9.285 9.285 9.285 18.44 18.44 18.44
Fractional coordinates of all 4 atoms:
Mg 0.000 0.000 0.000
Cr 0.247 0.247 0.247
Cr 0.753 0.753 0.753
Au 0.500 0.500 0.500

Calculated values
V   70.0 Å³/cell
Spin magnetization   7.13 μB/f.u.
Total energy   -5.479 eV per atom

=====

Record 2
Compound: MgCrAu2
Source: Alexandria
Functional: PBE
Structure: relaxed

Lattice parameters (Å, degrees): 4.583 4.583 5.694 99.43 99.43 38.30
Fractional coordinates of all 4 atoms:
Mg 0.000 0.000 0.000
Cr 0.500 0.500 0.500
Au 0.248 0.248 0.746
Au 0.752 0.752 0.254

Calculated values
V   73.0 Å³/cell
Spin magnetization   4.09 μB/f.u.
Total energy   -4.445 eV per atom

=====

Record 3
Compound: MgCr2Au
Source: Alexandria
Functional: PBE
Structure: relaxed

Lattice parameters (Å, degrees): 4.854 4.854 4.854 130.13 130.13 73.19
Fractional coordinates of all 4 atoms:
Mg 0.000 0.000 0.000
Cr 0.500 0.500 0.000
Cr 0.750 0.250 0.500
Au 0.250 0.750 0.500

Calculated values
V   65.3 Å³/cell
Spin magnetization   0.05 μB/f.u.
Total energy   -5.934 eV per atom

=====

Record 4
Compound: MgCr2Au
Source: Alexandria
Functional: PBE
Structure: relaxed

Lattice parameters (Å, degrees): 5.076 5.076 5.076 138.15 138.15 60.67
Fractional coordinates of all 4 atoms:
Mg 0.000 0.000 0.000
Cr 0.250 0.750 0.500
Cr 0.750 0.250 0.500
Au 0.500 0.500 0.000

Calculated values
V   57.6 Å³/cell
Spin magnetization   0.00 μB/f.u.
Total energy   -5.742 eV per atom

=====

Record 5
Compound: MgCr2Au
Source: Alexandria
Functional: PBE
Structure: relaxed

Lattice parameters (Å, degrees): 2.764 2.764 8.642 90.00 90.00 112.99
Fractional coordinates of all 4 atoms:
Mg 0.000 0.000 0.000
Cr 0.000 0.000 0.544
Cr 0.500 0.500 0.731
Au 0.500 0.500 0.272

Calculated values
V   60.8 Å³/cell
Spin magnetization   0.00 μB/f.u.
Total energy   -5.813 eV per atom

=====

Record 6
Compound: MgCr2Au
Source: Alexandria
Functional: PBE
Structure: relaxed

Lattice parameters (Å, degrees): 3.835 3.835 4.367 90.00 90.00 90.00
Fractional coordinates of all 4 atoms:
Mg 0.000 0.000 0.000
Cr 0.000 0.500 0.500
Cr 0.500 0.000 0.500
Au 0.500 0.500 0.000

Calculated values
V   64.2 Å³/cell
Spin magnetization   0.00 μB/f.u.
Total energy   -5.966 eV per atom